Entry 1:
Computed, not measured: a relaxed ZrZn2FeGe crystal at the PBE level of DFT.

abc: 5.1377 4.3996 5.1377
angles: 90.00 90.00 90.00
Element x y z (fractional)
Zn: 0.0000 0.0000 0.5000
Zn: 0.5000 0.0000 0.0000
Zr: 0.0000 0.0000 0.0000
Ge: 0.5000 0.5000 0.5000
Fe: 0.0000 0.5000 0.0000

Computed properties:
Energy of formation from the pure elements (eV per atom): 1.22
Space group: No. 123
Total energy (eV per atom): -3.62


Entry 2:
Computed, not measured: a relaxed Zr3Fe8Ge crystal at the PBE level of DFT.

abc: 4.9275 4.9275 8.4943
angles: 73.14 73.14 60.00
Element x y z (fractional)
Fe: 0.4373 0.9378 0.1876
Fe: 0.9384 0.9384 0.6845
Fe: 0.4373 0.4373 0.1876
Fe: 0.6881 0.6881 0.9357
Fe: 0.1883 0.1883 0.4352
Fe: 0.9384 0.4387 0.6845
Fe: 0.4387 0.9384 0.6845
Fe: 0.9378 0.4373 0.1876
Zr: 0.9955 0.9955 0.0136
Zr: 0.3758 0.3758 0.8725
Zr: 0.5034 0.5034 0.4897
Ge: 0.8710 0.8710 0.3871

Computed properties:
Energy of formation from the pure elements (eV per atom): -0.24
Space group: No. 160
Total energy (eV per atom): -8.40


Entry 3:
Computed, not measured: a relaxed Zr3Fe2Ge4 crystal at the PBE level of DFT.

abc: 4.0480 5.4789 7.7380
angles: 108.15 90.00 111.68
Element x y z (fractional)
Zr: 0.0000 0.0000 0.0000
Zr: 0.3691 0.7382 0.3095
Zr: 0.6309 0.2618 0.6905
Fe: 0.3099 0.6199 0.6300
Fe: 0.6901 0.3801 0.3700
Ge: 0.7042 0.4083 0.0760
Ge: 0.9145 0.8291 0.6056
Ge: 0.2958 0.5917 0.9240
Ge: 0.0855 0.1709 0.3944

Computed properties:
Energy of formation from the pure elements (eV per atom): -0.57
Space group: No. 12
Total energy (eV per atom): -7.35


> The highest energy of formation from the pure elements belongs to which entry?

ZrZn2FeGe


> What is the total energy in the first record?

-3.62 eV per atom